Entry 1:
# Sm4MgIn2 PBE relaxed
data_Sm4MgIn2
_space_group_name_H-M_alt 'P 1 21/m 1'
_space_group_IT_number 11
_space_group_name_Hall '-P 2yb'
_cell_length_a 7.742
_cell_length_b 6.451
_cell_length_c 9.192
_cell_angle_alpha 90.00
_cell_angle_beta 113.20
_cell_angle_gamma 90.00
loop_
_atom_site_label
_atom_site_fract_x
_atom_site_fract_y
_atom_site_fract_z
_atom_site_occupancy
Sm1 0.123 0.250 0.065 1
Sm2 0.136 0.004 0.722 1
Sm3 0.309 0.750 0.284 1
Mg1 0.448 0.750 0.658 1
In1 0.257 0.250 0.459 1
In2 0.476 0.750 0.010 1
# E above lowest polymorph, eV/atom: 0.114
# Calculated density, g cm⁻³: 6.73
# Total moment, μB/f.u.: 0.000
# Electronic total energy, eV for the cell shown: -53.9
# N(E_F), states/eV per atom: 1.107

Entry 2:
# SmMg4In2 PBE relaxed
data_SmMg4In2
_space_group_name_H-M_alt 'P 42/m n m'
_space_group_IT_number 136
_space_group_name_Hall '-P 4n 2n'
_cell_length_a 8.629
_cell_length_b 8.629
_cell_length_c 4.666
_cell_angle_alpha 90.00
_cell_angle_beta 90.00
_cell_angle_gamma 90.00
loop_
_atom_site_label
_atom_site_fract_x
_atom_site_fract_y
_atom_site_fract_z
_atom_site_occupancy
Sm1 0.000 0.000 0.000 1
Mg1 0.100 0.346 0.500 1
In1 0.202 0.798 0.500 1
# E above lowest polymorph, eV/atom: 0.000
# Calculated density, g cm⁻³: 4.56
# Total moment, μB/f.u.: 0.000
# Electronic total energy, eV for the cell shown: -35.8
# N(E_F), states/eV per atom: 0.762

Entry 3:
# Sm4Mg2In PBE relaxed
data_Sm4Mg2In
_space_group_name_H-M_alt 'R -3 m'
_space_group_IT_number 166
_space_group_name_Hall '-R 3 2"'
_cell_length_a 5.3328
_cell_length_b 5.3328
_cell_length_c 28.3125
_cell_angle_alpha 90.00
_cell_angle_beta 90.00
_cell_angle_gamma 120.00
loop_
_atom_site_label
_atom_site_fract_x
_atom_site_fract_y
_atom_site_fract_z
_atom_site_occupancy
Sm1 0.0000 0.0000 0.1265 1
Sm2 0.0000 0.0000 0.2899 1
Mg1 0.0000 0.0000 0.4033 1
In1 0.0000 0.0000 0.5000 1
# E above lowest polymorph, eV/atom: 0.197
# Calculated density, g cm⁻³: 5.46
# Total moment, μB/f.u.: 0.000
# Electronic total energy, eV for the cell shown: -71.1
# N(E_F), states/eV per atom: 1.220

Entry 4:
# Sm3MgIn2 PBE relaxed
data_Sm3MgIn2
_space_group_name_H-M_alt 'P 4/m m m'
_space_group_IT_number 123
_space_group_name_Hall '-P 4 2'
_cell_length_a 3.820
_cell_length_b 3.820
_cell_length_c 11.607
_cell_angle_alpha 90.00
_cell_angle_beta 90.00
_cell_angle_gamma 90.00
loop_
_atom_site_label
_atom_site_fract_x
_atom_site_fract_y
_atom_site_fract_z
_atom_site_occupancy
Sm1 0.000 0.000 0.000 1
Sm2 0.000 0.000 0.336 1
Mg1 0.500 0.500 0.500 1
In1 0.500 0.500 0.173 1
# E above lowest polymorph, eV/atom: 0.023
# Calculated density, g cm⁻³: 6.91
# Total moment, μB/f.u.: 0.000
# Electronic total energy, eV for the cell shown: -23.4
# N(E_F), states/eV per atom: 0.927

Entry 5:
# SmMgIn4 PBE relaxed
data_SmMgIn4
_space_group_name_H-M_alt 'F -4 3 m'
_space_group_IT_number 216
_space_group_name_Hall 'F -4 2 3'
_cell_length_a 8.577
_cell_length_b 8.577
_cell_length_c 8.577
_cell_angle_alpha 90.00
_cell_angle_beta 90.00
_cell_angle_gamma 90.00
loop_
_atom_site_label
_atom_site_fract_x
_atom_site_fract_y
_atom_site_fract_z
_atom_site_occupancy
Sm1 0.000 0.000 0.000 1
Mg1 0.250 0.250 0.250 1
In1 0.125 0.125 0.625 1
# Calculated density, g cm⁻³: 6.67
# Total moment, μB/f.u.: 0.000
# Electronic total energy, eV for the cell shown: -71.8
# N(E_F), states/eV per atom: 0.735

Entry 6:
# Sm2MgIn2 PBE relaxed
data_Sm2MgIn2
_space_group_name_H-M_alt 'I m m m'
_space_group_IT_number 71
_space_group_name_Hall '-I 2 2'
_cell_length_a 4.513
_cell_length_b 6.509
_cell_length_c 9.661
_cell_angle_alpha 90.00
_cell_angle_beta 90.00
_cell_angle_gamma 90.00
loop_
_atom_site_label
_atom_site_fract_x
_atom_site_fract_y
_atom_site_fract_z
_atom_site_occupancy
Sm1 0.000 0.000 0.209 1
Mg1 0.000 0.500 0.000 1
In1 0.000 0.274 0.500 1
# Calculated density, g cm⁻³: 6.49
# Total moment, μB/f.u.: 0.002
# Electronic total energy, eV for the cell shown: -36.3
# N(E_F), states/eV per atom: 1.135

Entry 7:
# SmMg2In3 PBE relaxed
data_SmMg2In3
_space_group_name_H-M_alt 'C m m m'
_space_group_IT_number 65
_space_group_name_Hall '-C 2 2'
_cell_length_a 4.609
_cell_length_b 14.043
_cell_length_c 4.544
_cell_angle_alpha 90.00
_cell_angle_beta 90.00
_cell_angle_gamma 90.00
loop_
_atom_site_label
_atom_site_fract_x
_atom_site_fract_y
_atom_site_fract_z
_atom_site_occupancy
Sm1 0.000 0.000 0.000 1
Mg1 0.000 0.327 0.000 1
In1 0.000 0.171 0.500 1
In2 0.000 0.500 0.500 1
# Calculated density, g cm⁻³: 6.14
# Total moment, μB/f.u.: 0.000
# Electronic total energy, eV for the cell shown: -35.9
# N(E_F), states/eV per atom: 0.543

Entry 8:
# Sm4MgIn3 PBE relaxed
data_Sm4MgIn3
_space_group_name_H-M_alt 'I 4/m m m'
_space_group_IT_number 139
_space_group_name_Hall '-I 4 2'
_cell_length_a 5.395
_cell_length_b 5.395
_cell_length_c 15.471
_cell_angle_alpha 90.00
_cell_angle_beta 90.00
_cell_angle_gamma 90.00
loop_
_atom_site_label
_atom_site_fract_x
_atom_site_fract_y
_atom_site_fract_z
_atom_site_occupancy
Sm1 0.000 0.500 0.125 1
Mg1 0.000 0.000 0.000 1
In1 0.000 0.000 0.247 1
In2 0.000 0.000 0.500 1
# Calculated density, g cm⁻³: 7.15
# Total moment, μB/f.u.: 0.000
# Electronic total energy, eV for the cell shown: -63.9
# N(E_F), states/eV per atom: 0.916

Entry 9:
# SmMg4In2 PBE relaxed
data_SmMg4In2
_space_group_name_H-M_alt 'C m m m'
_space_group_IT_number 65
_space_group_name_Hall '-C 2 2'
_cell_length_a 4.522
_cell_length_b 17.264
_cell_length_c 4.485
_cell_angle_alpha 90.00
_cell_angle_beta 90.00
_cell_angle_gamma 90.00
loop_
_atom_site_label
_atom_site_fract_x
_atom_site_fract_y
_atom_site_fract_z
_atom_site_occupancy
Sm1 0.000 0.000 0.000 1
Mg1 0.000 0.184 0.500 1
Mg2 0.000 0.314 0.000 1
In1 0.000 0.420 0.500 1
# E above lowest polymorph, eV/atom: 0.017
# Calculated density, g cm⁻³: 4.53
# Total moment, μB/f.u.: 0.000
# Electronic total energy, eV for the cell shown: -35.5
# N(E_F), states/eV per atom: 0.459

Entry 10:
# Sm2MgIn PBE relaxed
data_Sm2MgIn
_space_group_name_H-M_alt 'P 4/m m m'
_space_group_IT_number 123
_space_group_name_Hall '-P 4 2'
_cell_length_a 5.163
_cell_length_b 5.163
_cell_length_c 4.215
_cell_angle_alpha 90.00
_cell_angle_beta 90.00
_cell_angle_gamma 90.00
loop_
_atom_site_label
_atom_site_fract_x
_atom_site_fract_y
_atom_site_fract_z
_atom_site_occupancy
Sm1 0.000 0.500 0.000 1
Mg1 0.000 0.000 0.500 1
In1 0.500 0.500 0.500 1
# Calculated density, g cm⁻³: 6.50
# Total moment, μB/f.u.: 0.000
# Electronic total energy, eV for the cell shown: -15.0
# N(E_F), states/eV per atom: 0.884

Entry 11:
# Sm12Mg2In5 PBE relaxed
data_Sm12Mg2In5
_space_group_name_H-M_alt 'C 1 2/m 1'
_space_group_IT_number 12
_space_group_name_Hall '-C 2y'
_cell_length_a 13.739
_cell_length_b 9.656
_cell_length_c 8.671
_cell_angle_alpha 90.00
_cell_angle_beta 94.70
_cell_angle_gamma 90.00
loop_
_atom_site_label
_atom_site_fract_x
_atom_site_fract_y
_atom_site_fract_z
_atom_site_occupancy
Sm1 0.084 0.000 0.179 1
Sm2 0.096 0.500 0.643 1
Sm3 0.120 0.201 0.859 1
Sm4 0.150 0.315 0.295 1
Mg1 0.000 0.167 0.500 1
In1 0.000 0.500 0.000 1
In2 0.183 0.000 0.529 1
In3 0.217 0.500 0.983 1
# Calculated density, g cm⁻³: 7.03
# Total moment, μB/f.u.: 0.000
# Electronic total energy, eV for the cell shown: -153.7
# N(E_F), states/eV per atom: 1.209

Entry 12:
# SmMg2In PBE relaxed
data_SmMg2In
_space_group_name_H-M_alt 'F m -3 m'
_space_group_IT_number 225
_space_group_name_Hall '-F 4 2 3'
_cell_length_a 7.303
_cell_length_b 7.303
_cell_length_c 7.303
_cell_angle_alpha 90.00
_cell_angle_beta 90.00
_cell_angle_gamma 90.00
loop_
_atom_site_label
_atom_site_fract_x
_atom_site_fract_y
_atom_site_fract_z
_atom_site_occupancy
Sm1 0.000 0.000 0.000 1
Mg1 0.250 0.250 0.250 1
In1 0.000 0.000 0.500 1
# E above lowest polymorph, eV/atom: 0.127
# Calculated density, g cm⁻³: 5.35
# Total moment, μB/f.u.: 0.000
# Electronic total energy, eV for the cell shown: -45.2
# N(E_F), states/eV per atom: 0.247